1.
CsCa2GaRh after structural relaxation. Source: Alexandria, functional PBE-GGA.

energy = -16.2 eV per cell
ΔH_f (0 K) = -0.183 eV per atom
total magnetization = 0.009 μB/cell

Unit cell a=5.648 b=5.648 c=5.016 alpha=90.00 beta=90.00 gamma=90.00
Fractional coordinates of all 5 atoms:
Cs  0.000  0.000  0.000
Ca  0.000  0.500  0.500
Ca  0.500  0.000  0.500
Ga  0.500  0.500  0.000
Rh  0.500  0.500  0.500

2.
CsCaGaS3 after structural relaxation. Source: Alexandria, functional PBE-GGA.

energy = -49.8 eV per cell
uncorrected formation energy = -1.103 eV per atom
total magnetization = 0.003 μB/cell

Unit cell a=8.158 b=8.158 c=8.979 alpha=103.19 beta=103.19 gamma=35.83
Fractional coordinates of all 12 atoms:
Cs  0.152  0.152  0.056
Cs  0.848  0.848  0.944
Ca  0.142  0.142  0.558
Ca  0.858  0.858  0.442
Ga  0.481  0.481  0.698
Ga  0.519  0.519  0.302
S  0.006  0.006  0.292
S  0.332  0.332  0.659
S  0.370  0.370  0.276
S  0.630  0.630  0.724
S  0.668  0.668  0.341
S  0.994  0.994  0.708

3.
CsCaGaSb2 after structural relaxation. Source: Alexandria, functional PBE-GGA.

energy = -32.6 eV per cell
uncorrected formation energy = -0.433 eV per atom
total magnetization = 0.000 μB/cell

Unit cell a=8.993 b=8.993 c=6.741 alpha=90.00 beta=90.00 gamma=129.20
Fractional coordinates of all 10 atoms:
Cs  0.250  0.750  0.764
Cs  0.750  0.250  0.236
Ca  0.250  0.250  0.500
Ca  0.750  0.750  0.500
Ga  0.000  0.000  0.000
Ga  0.500  0.500  0.000
Sb  0.116  0.884  0.249
Sb  0.384  0.616  0.249
Sb  0.616  0.384  0.751
Sb  0.884  0.116  0.751

4.
CsCaGa2Te after structural relaxation. Source: Alexandria, functional PBE-GGA.

energy = -8.9 eV per cell
uncorrected formation energy = 0.627 eV per atom
total magnetization = 0.710 μB/cell

Unit cell a=5.806 b=5.806 c=6.741 alpha=90.00 beta=90.00 gamma=90.00
Fractional coordinates of all 5 atoms:
Cs  0.000  0.000  0.000
Ca  0.500  0.500  0.500
Ga  0.000  0.500  0.000
Ga  0.500  0.000  0.000
Te  0.000  0.000  0.500

5.
CsCaGaTe3 after structural relaxation. Source: Alexandria, functional PBE-GGA.

energy = -42.0 eV per cell
uncorrected formation energy = -0.947 eV per atom
total magnetization = 0.000 μB/cell

Unit cell a=13.572 b=13.572 c=8.517 alpha=94.54 beta=94.54 gamma=18.73
Fractional coordinates of all 12 atoms:
Cs  0.092  0.092  0.300
Cs  0.908  0.908  0.700
Ca  0.214  0.214  0.818
Ca  0.786  0.786  0.182
Ga  0.384  0.384  0.227
Ga  0.616  0.616  0.773
Te  0.057  0.057  0.767
Te  0.316  0.316  0.434
Te  0.327  0.327  0.949
Te  0.673  0.673  0.051
Te  0.684  0.684  0.566
Te  0.943  0.943  0.233

6.
Cs2CaGe after structural relaxation. Source: Alexandria, functional PBE-GGA.

energy = -28.0 eV per cell
ΔH_f (0 K) = 0.331 eV per atom
energy relative to the lowest polymorph listed for this composition = 0 meV/atom
total magnetization = 0.000 μB/cell

Unit cell a=4.922 b=4.922 c=27.509 alpha=90.00 beta=90.00 gamma=90.00
Fractional coordinates of all 16 atoms:
Cs  0.247  0.250  0.125
Cs  0.250  0.747  0.375
Cs  0.250  0.753  0.875
Cs  0.253  0.250  0.625
Cs  0.747  0.750  0.625
Cs  0.750  0.247  0.875
Cs  0.750  0.253  0.375
Cs  0.753  0.750  0.125
Ca  0.000  0.000  0.500
Ca  0.000  0.500  0.750
Ca  0.500  0.000  0.250
Ca  0.500  0.500  0.000
Ge  0.000  0.000  0.000
Ge  0.000  0.500  0.250
Ge  0.500  0.000  0.750
Ge  0.500  0.500  0.500

7.
CsCaGe2 after structural relaxation. Source: Alexandria, functional PBE-GGA.

energy = -47.1 eV per cell
ΔH_f (0 K) = 0.079 eV per atom
energy relative to the lowest polymorph listed for this composition = 0 meV/atom
total magnetization = 0.000 μB/cell

Unit cell a=5.485 b=5.485 c=20.813 alpha=90.00 beta=90.00 gamma=90.00
Fractional coordinates of all 16 atoms:
Cs  0.000  0.250  0.375
Cs  0.000  0.750  0.625
Cs  0.500  0.250  0.125
Cs  0.500  0.750  0.875
Ca  0.000  0.250  0.875
Ca  0.000  0.750  0.125
Ca  0.500  0.250  0.625
Ca  0.500  0.750  0.375
Ge  0.000  0.000  0.000
Ge  0.000  0.500  0.000
Ge  0.250  0.250  0.750
Ge  0.250  0.750  0.250
Ge  0.500  0.000  0.500
Ge  0.500  0.500  0.500
Ge  0.750  0.250  0.750
Ge  0.750  0.750  0.250

8.
Cs2CaGe after structural relaxation. Source: Alexandria, functional PBE-GGA.

energy = -26.5 eV per cell
ΔH_f (0 K) = 0.422 eV per atom
energy relative to the lowest polymorph listed for this composition = 91 meV/atom
total magnetization = 0.000 μB/cell

Unit cell a=9.079 b=9.079 c=9.079 alpha=90.00 beta=90.00 gamma=90.00
Fractional coordinates of all 16 atoms:
Cs  0.250  0.250  0.250
Cs  0.250  0.250  0.750
Cs  0.250  0.750  0.250
Cs  0.250  0.750  0.750
Cs  0.750  0.250  0.250
Cs  0.750  0.250  0.750
Cs  0.750  0.750  0.250
Cs  0.750  0.750  0.750
Ca  0.000  0.000  0.000
Ca  0.000  0.500  0.500
Ca  0.500  0.000  0.500
Ca  0.500  0.500  0.000
Ge  0.000  0.000  0.500
Ge  0.000  0.500  0.000
Ge  0.500  0.000  0.000
Ge  0.500  0.500  0.500